No. 1
# PBE-GGA Pu2CuTe4, relaxed
data_Pu2CuTe4
_chemical_formula_sum 'Pu4 Cu2 Te8'
_cell_length_a 7.577
_cell_length_b 6.264
_cell_length_c 8.710
_cell_angle_alpha 90.00
_cell_angle_beta 106.66
_cell_angle_gamma 90.00
_space_group_name_H-M_alt 'P 1 21/m 1'
_space_group_IT_number 11
_space_group_name_Hall '-P 2yb'
loop_
_atom_site_label
_atom_site_type_symbol
_atom_site_fract_x
_atom_site_fract_y
_atom_site_fract_z
Pu1 Pu 0.228 0.250 0.436
Pu2 Pu 0.246 0.250 0.932
Cu1 Cu 0.229 0.750 0.682
Te1 Te 0.072 0.750 0.904
Te2 Te 0.077 0.750 0.382
Te3 Te 0.486 0.504 0.249
# energy: -100.9 eV/cell
# calculated density: 8.90 Mg/m³

---

No. 2
# PBE-GGA Tb2Cd, relaxed
data_Tb2Cd
_chemical_formula_sum 'Tb4 Cd2'
_cell_length_a 3.660
_cell_length_b 3.660
_cell_length_c 12.755
_cell_angle_alpha 90.00
_cell_angle_beta 90.00
_cell_angle_gamma 90.00
_space_group_name_H-M_alt 'P 4/m m m'
_space_group_IT_number 123
_space_group_name_Hall '-P 4 2'
loop_
_atom_site_label
_atom_site_type_symbol
_atom_site_fract_x
_atom_site_fract_y
_atom_site_fract_z
Tb1 Tb 0.000 0.000 0.000
Tb2 Tb 0.000 0.000 0.307
Tb3 Tb 0.500 0.500 0.500
Cd1 Cd 0.500 0.500 0.153
# formation energy from the elements: -0.197 eV per atom
# energy: -21.5 eV/cell
# calculated density: 8.36 Mg/m³

---

No. 3
# PBE-GGA PaMnAs, relaxed
data_PaMnAs
_chemical_formula_sum 'Pa1 Mn1 As1'
_cell_length_a 4.2159
_cell_length_b 4.2159
_cell_length_c 3.5997
_cell_angle_alpha 90.00
_cell_angle_beta 90.00
_cell_angle_gamma 120.00
_space_group_name_H-M_alt 'P -6 m 2'
_space_group_IT_number 187
_space_group_name_Hall 'P -6 2'
loop_
_atom_site_label
_atom_site_type_symbol
_atom_site_fract_x
_atom_site_fract_y
_atom_site_fract_z
Pa1 Pa 0.0000 0.0000 0.0000
Mn1 Mn 0.6667 0.3333 0.5000
As1 As 0.3333 0.6667 0.5000
# formation energy from the elements: -0.578 eV per atom
# energy: -25.0 eV/cell
# calculated density: 10.82 Mg/m³

---

No. 4
# PBE-GGA LiYNO2, relaxed
data_LiYNO2
_chemical_formula_sum 'Li1 Y1 N1 O2'
_cell_length_a 4.409
_cell_length_b 4.409
_cell_length_c 4.697
_cell_angle_alpha 90.00
_cell_angle_beta 90.00
_cell_angle_gamma 90.00
_space_group_name_H-M_alt 'P 4/m m m'
_space_group_IT_number 123
_space_group_name_Hall '-P 4 2'
loop_
_atom_site_label
_atom_site_type_symbol
_atom_site_fract_x
_atom_site_fract_y
_atom_site_fract_z
Li1 Li 0.000 0.000 0.000
Y1 Y 0.500 0.500 0.500
N1 N 0.500 0.500 0.000
O1 O 0.000 0.500 0.500
# energy: -30.5 eV/cell
# calculated density: 2.58 Mg/m³

---

No. 5
# PBE-GGA ReSN2O, relaxed
data_ReSN2O
_chemical_formula_sum 'Re1 S1 N2 O1'
_cell_length_a 3.757
_cell_length_b 3.757
_cell_length_c 4.912
_cell_angle_alpha 90.00
_cell_angle_beta 90.00
_cell_angle_gamma 90.00
_space_group_name_H-M_alt 'P 4/m m m'
_space_group_IT_number 123
_space_group_name_Hall '-P 4 2'
loop_
_atom_site_label
_atom_site_type_symbol
_atom_site_fract_x
_atom_site_fract_y
_atom_site_fract_z
Re1 Re 0.000 0.000 0.000
S1 S 0.000 0.000 0.500
N1 N 0.000 0.500 0.000
O1 O 0.500 0.500 0.500
# energy: -33.4 eV/cell
# calculated density: 6.28 Mg/m³

---

No. 6
# PBE-GGA Ta2Br, relaxed
data_Ta2Br
_chemical_formula_sum 'Ta4 Br2'
_cell_length_a 2.985
_cell_length_b 4.475
_cell_length_c 8.574
_cell_angle_alpha 90.00
_cell_angle_beta 90.00
_cell_angle_gamma 90.00
_space_group_name_H-M_alt 'I m m m'
_space_group_IT_number 71
_space_group_name_Hall '-I 2 2'
loop_
_atom_site_label
_atom_site_type_symbol
_atom_site_fract_x
_atom_site_fract_y
_atom_site_fract_z
Ta1 Ta 0.000 0.000 0.172
Br1 Br 0.000 0.000 0.500
# energy: -46.3 eV/cell
# energy relative to the lowest polymorph listed for this composition: 207 kJ/mol of formula units
# calculated density: 12.81 Mg/m³

---

No. 7
# PBE-GGA Sm10Ga3Sb3, relaxed
data_Sm10Ga3Sb3
_chemical_formula_sum 'Sm10 Ga3 Sb3'
_cell_length_a 8.9909
_cell_length_b 8.9909
_cell_length_c 6.6605
_cell_angle_alpha 90.00
_cell_angle_beta 90.00
_cell_angle_gamma 120.00
_space_group_name_H-M_alt 'P -6 2 m'
_space_group_IT_number 189
_space_group_name_Hall 'P -6 -2'
loop_
_atom_site_label
_atom_site_type_symbol
_atom_site_fract_x
_atom_site_fract_y
_atom_site_fract_z
Sm1 Sm 0.0000 0.2400 0.0000
Sm2 Sm 0.0000 0.7596 0.5000
Sm3 Sm 0.3333 0.6667 0.2432
Ga1 Ga 0.0000 0.6048 0.0000
Sb1 Sb 0.0000 0.3950 0.5000
# energy: -79.8 eV/cell
# calculated density: 7.40 Mg/m³

---

No. 8
# PBE-GGA CsAg2AsBr8, relaxed
data_CsAg2AsBr8
_chemical_formula_sum 'Cs1 Ag2 As1 Br8'
_cell_length_a 6.031
_cell_length_b 6.854
_cell_length_c 10.074
_cell_angle_alpha 93.84
_cell_angle_beta 104.31
_cell_angle_gamma 92.59
_space_group_name_H-M_alt 'P -1'
_space_group_IT_number 2
_space_group_name_Hall '-P 1'
loop_
_atom_site_label
_atom_site_type_symbol
_atom_site_fract_x
_atom_site_fract_y
_atom_site_fract_z
Cs1 Cs 0.000 0.000 0.000
Ag1 Ag 0.128 0.522 0.702
As1 As 0.500 0.000 0.500
Br1 Br 0.190 0.780 0.315
Br2 Br 0.235 0.303 0.485
Br3 Br 0.246 0.503 0.980
Br4 Br 0.380 0.865 0.720
# energy: -30.5 eV/cell
# calculated density: 4.39 Mg/m³

---

No. 9
# PBE-GGA NbTeCl3, relaxed
data_NbTeCl3
_chemical_formula_sum 'Nb1 Te1 Cl3'
_cell_length_a 4.956
_cell_length_b 4.956
_cell_length_c 4.956
_cell_angle_alpha 90.00
_cell_angle_beta 90.00
_cell_angle_gamma 90.00
_space_group_name_H-M_alt 'P m -3 m'
_space_group_IT_number 221
_space_group_name_Hall '-P 4 2 3'
loop_
_atom_site_label
_atom_site_type_symbol
_atom_site_fract_x
_atom_site_fract_y
_atom_site_fract_z
Nb1 Nb 0.000 0.000 0.000
Te1 Te 0.500 0.500 0.500
Cl1 Cl 0.000 0.000 0.500
# energy: -19.7 eV/cell
# calculated density: 4.46 Mg/m³

---

No. 10
# PBE-GGA MgAsI2, relaxed
data_MgAsI2
_chemical_formula_sum 'Mg4 As4 I8'
_cell_length_a 8.214
_cell_length_b 8.214
_cell_length_c 7.437
_cell_angle_alpha 90.00
_cell_angle_beta 90.00
_cell_angle_gamma 90.00
_space_group_name_H-M_alt 'I -4 2 d'
_space_group_IT_number 122
_space_group_name_Hall 'I -4 2bw'
loop_
_atom_site_label
_atom_site_type_symbol
_atom_site_fract_x
_atom_site_fract_y
_atom_site_fract_z
Mg1 Mg 0.000 0.000 0.000
As1 As 0.000 0.000 0.500
I1 I 0.216 0.250 0.125
# energy: -36.0 eV/cell
# energy relative to the lowest polymorph listed for this composition: 0 kJ/mol of formula units
# calculated density: 4.67 Mg/m³

---

No. 11
# PBE-GGA RbTlAgCl6, relaxed
data_RbTlAgCl6
_chemical_formula_sum 'Rb2 Tl2 Ag2 Cl12'
_cell_length_a 7.298
_cell_length_b 11.376
_cell_length_c 7.262
_cell_angle_alpha 90.00
_cell_angle_beta 95.08
_cell_angle_gamma 90.00
_space_group_name_H-M_alt 'C 1 2 1'
_space_group_IT_number 5
_space_group_name_Hall 'C 2y'
loop_
_atom_site_label
_atom_site_type_symbol
_atom_site_fract_x
_atom_site_fract_y
_atom_site_fract_z
Rb1 Rb 0.000 0.000 0.000
Tl1 Tl 0.000 0.338 0.500
Ag1 Ag 0.000 0.684 0.500
Cl1 Cl 0.119 0.523 0.710
Cl2 Cl 0.173 0.208 0.738
Cl3 Cl 0.187 0.834 0.684
# energy: -50.0 eV/cell
# calculated density: 3.38 Mg/m³

---

No. 12
# PBE-GGA Ce2B3Ir2, relaxed
data_Ce2B3Ir2
_chemical_formula_sum 'Ce4 B6 Ir4'
_cell_length_a 10.138
_cell_length_b 3.705
_cell_length_c 6.183
_cell_angle_alpha 90.00
_cell_angle_beta 120.83
_cell_angle_gamma 90.00
_space_group_name_H-M_alt 'C 1 2/m 1'
_space_group_IT_number 12
_space_group_name_Hall '-C 2y'
loop_
_atom_site_label
_atom_site_type_symbol
_atom_site_fract_x
_atom_site_fract_y
_atom_site_fract_z
Ce1 Ce 0.142 0.000 0.495
B1 B 0.000 0.500 0.000
B2 B 0.095 0.500 0.819
Ir1 Ir 0.157 0.000 0.025
# formation energy from the elements: -0.342 eV per atom
# energy: -104.0 eV/cell
# calculated density: 11.61 Mg/m³

---

no.,N(E_F) (states/eV/cell)
1,48.095
2,7.203
3,4.136
4,3.289
5,3.560
6,4.636
7,16.565
8,6.772
9,11.671
10,8.728
11,1.975
12,13.341